Here is a geometry-optimized Zn2ReMo structure from Alexandria. Energies are from PBE.

Output
- Energy of formation: 0.181 eV per atom
- Symmetry: I-4m2, No. 119
- Calculated total energy: -6.2757 eV/atom

abc: 4.647 4.647 4.647
angles: 129.18 129.18 74.72
Fractional coordinates of all 4 atoms:
Mo 0.500 0.500 0.000
Re 0.750 0.250 0.500
Zn 0.000 0.000 0.000
Zn 0.250 0.750 0.500